# 1
Compound: ScCuAg
Source: the Alexandria database
Functional: PBE-GGA
Structure: optimized geometry

Geometry as CIF:
```
data_ScCuAg
_space_group_name_H-M_alt 'F -4 3 m'
_space_group_IT_number 216
_space_group_name_Hall 'F -4 2 3'
_cell_length_a 6.190
_cell_length_b 6.190
_cell_length_c 6.190
_cell_angle_alpha 90.00
_cell_angle_beta 90.00
_cell_angle_gamma 90.00
loop_
_atom_site_label
_atom_site_fract_x
_atom_site_fract_y
_atom_site_fract_z
Sc1 0.000 0.000 0.000
Cu1 0.250 0.250 0.250
Ag1 0.000 0.000 0.500
```

DOS(E_F) in states/eV per atom: 0.91
Size of the total moment in μB per cell: 0.0



# 2
Compound: ScCu4Ag
Source: the Alexandria database
Functional: PBE-GGA
Structure: optimized geometry

Geometry as CIF:
```
data_ScCu4Ag
_space_group_name_H-M_alt 'F -4 3 m'
_space_group_IT_number 216
_space_group_name_Hall 'F -4 2 3'
_cell_length_a 7.013
_cell_length_b 7.013
_cell_length_c 7.013
_cell_angle_alpha 90.00
_cell_angle_beta 90.00
_cell_angle_gamma 90.00
loop_
_atom_site_label
_atom_site_fract_x
_atom_site_fract_y
_atom_site_fract_z
Sc1 0.000 0.000 0.000
Cu1 0.125 0.125 0.375
Ag1 0.250 0.250 0.750
```

DOS(E_F) in states/eV per atom: 1.06
Size of the total moment in μB per cell: 0.0



# 3
Compound: ScCu2Ag
Source: the Alexandria database
Functional: PBE-GGA
Structure: optimized geometry

Geometry as CIF:
```
data_ScCu2Ag
_space_group_name_H-M_alt 'I m m 2'
_space_group_IT_number 44
_cell_length_a 3.796
_cell_length_b 4.145
_cell_length_c 8.081
_cell_angle_alpha 90.00
_cell_angle_beta 90.00
_cell_angle_gamma 90.00
loop_
_space_group_symop_operation_xyz
'x,y,z'
'-x,-y,z'
'-x,y,z'
'x,-y,z'
'x+1/2,y+1/2,z+1/2'
'-x+1/2,-y+1/2,z+1/2'
'-x+1/2,y+1/2,z+1/2'
'x+1/2,-y+1/2,z+1/2'
loop_
_atom_site_label
_atom_site_fract_x
_atom_site_fract_y
_atom_site_fract_z
Sc1 0.000 0.000 0.000
Cu1 0.000 0.000 0.512
Cu2 0.000 0.500 0.243
Ag1 0.000 0.500 0.759
```

DOS(E_F) in states/eV per atom: 0.56
Size of the total moment in μB per cell: 0.0



# 4
Compound: Sc2CuAg
Source: the Alexandria database
Functional: PBE-GGA
Structure: optimized geometry

Geometry as CIF:
```
data_Sc2CuAg
_space_group_name_H-M_alt 'C 1 m 1'
_space_group_IT_number 8
_cell_length_a 10.088
_cell_length_b 3.204
_cell_length_c 4.899
_cell_angle_alpha 90.00
_cell_angle_beta 105.48
_cell_angle_gamma 90.00
loop_
_space_group_symop_operation_xyz
'x,y,z'
'x,-y,z'
'x+1/2,y+1/2,z'
'x+1/2,-y+1/2,z'
loop_
_atom_site_label
_atom_site_fract_x
_atom_site_fract_y
_atom_site_fract_z
Sc1 0.000 0.000 0.000
Sc2 0.217 0.000 0.642
Cu1 0.240 0.500 0.150
Ag1 0.459 0.000 0.460
```

DOS(E_F) in states/eV per atom: 0.93
Size of the total moment in μB per cell: 0.0



Number 1: theoretical density 6.06 Mg/m³, ΔE_f -3 meV/atom. Number 2: theoretical density 7.84 Mg/m³, ΔE_f -197 meV/atom. Number 3: theoretical density 7.31 Mg/m³, ΔE_f -126 meV/atom. Number 4: theoretical density 5.69 Mg/m³, ΔE_f -154 meV/atom.